Below is a relaxed CoCuPdAu crystal, with properties calculated at the PBE level.

Magnetization, μB/f.u.: 2.1
ΔE_f, eV/f.u.: 0.44

a = 6.117 Å, b = 6.117 Å, c = 6.117 Å
α = 90.00°, β = 90.00°, γ = 90.00°
Space group F-43m (No. 216)
Asymmetric unit:
Co1 0.000 0.000 0.000 [4 per cell]
Cu1 0.000 0.000 0.500 [4 per cell]
Pd1 0.250 0.250 0.750 [4 per cell]
Au1 0.250 0.250 0.250 [4 per cell]